# 1
A relaxed structure of CeSmHgIr. Source: the Alexandria database, functional PBE-GGA.

a = 4.106 Å, b = 4.106 Å, c = 22.932 Å
α = 90.00°, β = 90.00°, γ = 120.00°
Fractional positions:
Ce1 0.000 0.000 0.000
Ce2 0.333 0.667 0.667
Ce3 0.667 0.333 0.333
Sm1 0.000 0.000 0.200
Sm2 0.333 0.667 0.867
Sm3 0.667 0.333 0.533
Hg1 0.000 0.000 0.433
Hg2 0.333 0.667 0.100
Hg3 0.667 0.333 0.767
Ir1 0.000 0.000 0.603
Ir2 0.333 0.667 0.270
Ir3 0.667 0.333 0.937

Computed properties:
- M_tot (μB/cell) = 1.13
- E_tot (Ry per atom) = -0.406
- Fermi-level density of states (states/eV per cell) = 16.72
- energy relative to the elements (meV per atom) = -568

=====

# 2
A relaxed structure of BaInTe2. Source: the Alexandria database, functional PBE-GGA.

a = 4.462 Å, b = 4.462 Å, c = 7.022 Å
α = 90.00°, β = 90.00°, γ = 90.00°
Fractional positions:
Ba1 0.000 0.000 0.000
In1 0.000 0.000 0.500
Te1 0.500 0.500 0.257
Te2 0.500 0.500 0.743

Computed properties:
- formation energy without anion corrections (eV per atom) = -0.83
- M_tot (μB/cell) = 0.00
- E_tot (Ry per atom) = -0.262
- Fermi-level density of states (states/eV per cell) = 1.11

=====

| no. | calculated volume (Å³ per cell) |
| --- | --- |
| 1 | 335 |
| 2 | 140 |